# Na2MnCrF6

A geometry-optimized Na2MnCrF6 structure (GGA+U, Alexandria).

```
data_Na2MnCrF6
_space_group_name_H-M_alt 'P 1'
_space_group_IT_number 1
_space_group_name_Hall 'P 1'
_cell_length_a 5.583
_cell_length_b 5.774
_cell_length_c 5.791
_cell_angle_alpha 60.17
_cell_angle_beta 62.14
_cell_angle_gamma 89.98
loop_
_atom_site_label
_atom_site_fract_x
_atom_site_fract_y
_atom_site_fract_z
Na1 0.000 0.000 0.000
Na2 0.425 0.494 0.011
Mn1 0.712 0.250 0.505
Cr1 0.212 0.749 0.506
F1 0.043 0.067 0.361
F2 0.044 0.578 0.360
F3 0.380 0.431 0.651
F4 0.383 0.921 0.650
F5 0.613 0.021 0.971
F6 0.812 0.487 0.040
```

## Properties
- Total DFT energy (no corrections): -55.6 eV per formula unit